Entry from Alexandria via LeMat-Bulk: crystalline Na5Ni2P2C2O14 at its relaxed geometry (GGA+U).

Calculated values
Calculated volume (Å³ per atom): 12.25
VASP energy (eV per atom): -6.222
ρ (kg/m3): 2941

Cell lengths 5.1631, 6.6566, 8.9118 Å; angles 90.00, 91.19, 90.00 degrees
Sites, in units of the cell vectors:
Na (0.0000, 0.0000, 0.0000)
Na (0.4799, 0.2438, 0.8198)
Na (0.4799, 0.7562, 0.8198)
Na (0.9844, 0.2614, 0.3399)
Na (0.9844, 0.7386, 0.3399)
Ni (0.0151, 0.5000, 0.7282)
Ni (0.4480, 0.0000, 0.4324)
P (0.5178, 0.5000, 0.4996)
P (0.9415, 0.0000, 0.6631)
C (0.5060, 0.0000, 0.1492)
C (0.9565, 0.5000, 0.0073)
O (0.0162, 0.1857, 0.7613)
O (0.0162, 0.8143, 0.7613)
O (0.0779, 0.0000, 0.5107)
O (0.1815, 0.5000, 0.9440)
O (0.2800, 0.0000, 0.2112)
O (0.3820, 0.5000, 0.6536)
O (0.4416, 0.3118, 0.4069)
O (0.4416, 0.6882, 0.4069)
O (0.5273, 0.0000, 0.0054)
O (0.6413, 0.0000, 0.6339)
O (0.7092, 0.0000, 0.2381)
O (0.7594, 0.5000, 0.9133)
O (0.8187, 0.5000, 0.5304)
O (0.9320, 0.5000, 0.1480)